A PBEsol-optimized structure of ScMn2Ru, computed with meta-GGA SCAN.

Geometry as POSCAR:
```
ScMn2Ru
1.0
2.763 0.000 0.000
0.000 3.796 0.000
0.000 0.000 5.351
Ru Sc Mn
1 1 2
Direct
0.500 0.500 0.000 Ru
0.500 0.500 0.500 Sc
0.000 0.000 0.223 Mn
0.000 0.000 0.777 Mn
```

Values from the calculation:
* formation enthalpy at 0 K: -0.0103 eV/atom
* space-group type: Pmmm (47)
* DOS(E_F): 4.856 states/eV/cell